Entry 1:
Density functional theory data (GGA-PBE) for an optimized crystal structure of ReB4As.

Structure (extended XYZ):
```
6
Lattice="3.0232 0.0000 0.0000 -1.5116 2.6182 0.0000 0.0000 0.0000 7.2173" Properties=species:S:1:pos:R:3 pbc="T T T"
As 0.0000 0.0000 0.0000
B 1.5116 0.8727 1.9392
B 0.0000 1.7455 1.9392
B 1.5116 0.8727 5.2781
B 0.0000 1.7455 5.2781
Re 0.0000 0.0000 3.6086
```

Values from the calculation:
Offset from the most stable computed form: 142 meV/atom
Uncorrected energy: -40.71 eV for the cell shown
Spin magnetization: 0.001 μB per atom


Entry 2:
Density functional theory data (GGA-PBE) for an optimized crystal structure of GdBeGa.

Structure (extended XYZ):
```
3
Lattice="0.0000 3.0760 3.0760 3.0760 0.0000 3.0760 3.0760 3.0760 0.0000" Properties=species:S:1:pos:R:3 pbc="T T T"
Be 0.0000 0.0000 0.0000
Ga 1.5380 1.5380 1.5380
Gd 4.6140 4.6140 4.6140
```

Values from the calculation:
Offset from the most stable computed form: 0 meV/atom
Uncorrected energy: -12.27 eV for the cell shown
Spin magnetization: 0.000 μB per atom